42
Lattice="5.9441 0.0129 0.0000 2.9594 5.1551 0.0000 0.0005 0.0003 14.4810" Properties=species:S:1:pos:R:3 comment="Fe2CoO4 | Alexandria | GGA+U | relaxed" de_polymorph_ev_per_atom=0.086 total_magnetization_mub_per_cell=53.9 pbc="T T T"
Fe 6.4405 2.6259 11.4248
Fe 3.4755 2.5968 9.6638
Fe 3.4348 0.8547 6.6040
Fe 1.9870 0.0251 9.6460
Fe 4.9253 3.4383 4.8172
Fe 3.4829 4.2756 1.7753
Fe 7.8966 3.4552 4.8350
Fe 6.4582 2.6096 7.8770
Fe 6.4446 4.2888 14.4731
Fe 3.4294 0.8781 3.0562
Fe 1.9834 1.6993 0.0079
Fe 3.4639 4.2646 12.7057
Co 3.4634 0.8700 12.0655
Co 3.4595 4.2940 7.2405
Co 6.4099 0.8710 4.8302
Co 4.9684 0.0343 9.6508
Co 6.4307 2.5924 2.4156
Co 4.9638 1.7018 0.0000
O 4.8430 1.7701 10.8023
O 6.3488 4.4219 10.7740
O 3.4040 0.9294 8.5459
O 2.0557 1.6965 10.7158
O 4.8831 3.4982 8.5917
O 4.8810 5.0318 5.9537
O 3.5399 4.2713 10.7632
O 0.5863 0.7918 8.5124
O 3.4444 2.6631 5.8893
O 3.4393 4.2129 3.7178
O 2.1138 3.4256 8.5273
O 7.9257 5.0518 5.9687
O 1.9154 1.8486 3.7070
O 7.8504 3.3913 1.0783
O 6.4112 4.2246 3.7652
O 6.4086 2.6734 5.9351
O 0.5838 0.9253 1.1412
O 6.5271 2.6175 13.3683
O 4.9648 1.8409 3.6787
O 5.0844 3.4520 1.1208
O 7.8109 5.1202 13.3398
O 3.3937 0.7988 1.1127
O 3.3847 2.4654 13.3602
O 2.0655 0.0335 13.4027